[1]
Below is an optimized crystal structure of AcPr12Y2, with properties calculated at the GGA-PBE level.

a = 6.632 Å, b = 6.632 Å, c = 26.296 Å
α = 90.00°, β = 90.00°, γ = 90.00°
Space group P4/nbm (No. 125, origin choice 2)
One atom of each set of equivalent atoms:
Ac (0.250, 0.750, 0.000) x2
Pr (0.069, 0.569, 0.121) x8
Pr (0.082, 0.582, 0.439) x8
Pr (0.250, 0.250, 0.221) x4
Pr (0.250, 0.250, 0.340) x4
Y (0.250, 0.750, 0.277) x4

Properties
Calculated total energy in eV per atom: -4.6837
DOS at the Fermi energy in states/eV/atom: 1.22
Energy of formation from the pure elements in kcal/mol of atoms: 6.36

[2]
Below is an optimized crystal structure of Ac2Pr2Y15, with properties calculated at the GGA-PBE level.

a = 11.5427 Å, b = 11.5427 Å, c = 17.7295 Å
α = 90.00°, β = 90.00°, γ = 120.00°
Space group R-3m (No. 166, hexagonal axes)
One atom of each set of equivalent atoms:
Ac (0.0000, 0.0000, 0.1649) x6
Pr (0.0000, 0.0000, 0.4063) x6
Y (0.0000, 0.3011, 0.5000) x18
Y (0.0000, 0.5000, 0.0000) x9
Y (0.0086, 0.5043, 0.6426) x18

Properties
Calculated total energy in eV per atom: -5.7802
DOS at the Fermi energy in states/eV/atom: 2.43
Energy of formation from the pure elements in kcal/mol of atoms: 5.96

[3]
Below is an optimized crystal structure of Ac6Pr8Y, with properties calculated at the GGA-PBE level.

a = 10.2919 Å, b = 10.2919 Å, c = 19.4554 Å
α = 90.00°, β = 90.00°, γ = 120.00°
Space group R-3 (No. 148, hexagonal axes)
One atom of each set of equivalent atoms:
Ac (0.0206, 0.7823, 0.4071) x18
Pr (0.0000, 0.0000, 0.2269) x6
Pr (0.0507, 0.7737, 0.9024) x18
Y (0.0000, 0.0000, 0.0000) x3

Properties
Calculated total energy in eV per atom: -4.5181
DOS at the Fermi energy in states/eV/atom: 1.38
Energy of formation from the pure elements in kcal/mol of atoms: 2.43

[4]
Below is an optimized crystal structure of Ac5Pr2Y4, with properties calculated at the GGA-PBE level.

a = 25.449 Å, b = 3.770 Å, c = 9.103 Å
α = 90.00°, β = 95.74°, γ = 90.00°
Space group C2/m (No. 12)
One atom of each set of equivalent atoms:
Ac (0.000, 0.000, 0.000) x2
Ac (0.134, 0.500, 0.047) x4
Ac (0.182, 0.500, 0.475) x4
Pr (0.086, 0.000, 0.689) x4
Y (0.037, 0.500, 0.347) x4
Y (0.226, 0.000, 0.829) x4

Properties
Calculated total energy in eV per atom: -4.9651
DOS at the Fermi energy in states/eV/atom: 1.68
Energy of formation from the pure elements in kcal/mol of atoms: 2.81

[5]
Below is an optimized crystal structure of Ac5Pr12Y2, with properties calculated at the GGA-PBE level.

a = 23.299 Å, b = 7.436 Å, c = 9.103 Å
α = 90.00°, β = 110.69°, γ = 90.00°
Space group C2/m (No. 12)
One atom of each set of equivalent atoms:
Ac (0.000, 0.000, 0.000) x2
Ac (0.151, 0.500, 0.589) x4
Ac (0.246, 0.000, 0.985) x4
Pr (0.047, 0.500, 0.191) x4
Pr (0.105, 0.261, 0.876) x8
Pr (0.140, 0.000, 0.552) x4
Pr (0.199, 0.253, 0.290) x8
Y (0.000, 0.258, 0.500) x4

Properties
Calculated total energy in eV per atom: -4.6413
DOS at the Fermi energy in states/eV/atom: 1.59
Energy of formation from the pure elements in kcal/mol of atoms: 3.20

[6]
Below is an optimized crystal structure of AcPrY2, with properties calculated at the GGA-PBE level.

a = 8.352 Å, b = 8.352 Å, c = 8.352 Å
α = 90.00°, β = 90.00°, γ = 90.00°
Space group Fm-3m (No. 225)
One atom of each set of equivalent atoms:
Ac (0.000, 0.000, 0.000) x4
Pr (0.000, 0.000, 0.500) x4
Y (0.250, 0.250, 0.250) x8

Properties
Calculated total energy in eV per atom: -5.3615
DOS at the Fermi energy in states/eV/atom: 1.83
Energy of formation from the pure elements in kcal/mol of atoms: 2.13
Offset from the most stable computed form in eV per formula unit: 0.25

[7]
Below is an optimized crystal structure of Ac7Pr2Y2, with properties calculated at the GGA-PBE level.

a = 12.920 Å, b = 7.273 Å, c = 10.160 Å
α = 90.00°, β = 90.18°, γ = 90.00°
Space group C2/m (No. 12)
One atom of each set of equivalent atoms:
Ac (0.000, 0.000, 0.000) x2
Ac (0.000, 0.500, 0.184) x4
Ac (0.250, 0.250, 0.312) x8
Pr (0.000, 0.248, 0.500) x4
Y (0.230, 0.500, 0.000) x4

Properties
Calculated total energy in eV per atom: -4.3343
DOS at the Fermi energy in states/eV/atom: 1.88
Energy of formation from the pure elements in kcal/mol of atoms: 7.48
Offset from the most stable computed form in eV per formula unit: 1.46

[8]
Below is an optimized crystal structure of Ac12Pr6Y, with properties calculated at the GGA-PBE level.

a = 16.9225 Å, b = 16.9225 Å, c = 9.5652 Å
α = 90.00°, β = 90.00°, γ = 120.00°
Space group R-3 (No. 148, hexagonal axes)
One atom of each set of equivalent atoms:
Ac (0.0346, 0.2769, 0.3409) x18
Ac (0.0729, 0.5629, 0.6650) x18
Pr (0.0161, 0.1350, 0.6669) x18
Y (0.0000, 0.0000, 0.0000) x3

Properties
Calculated total energy in eV per atom: -4.4123
DOS at the Fermi energy in states/eV/atom: 1.89
Energy of formation from the pure elements in kcal/mol of atoms: 0.74

[9]
Below is an optimized crystal structure of Ac4Pr4Y, with properties calculated at the GGA-PBE level.

a = 11.462 Å, b = 11.462 Å, c = 5.419 Å
α = 90.00°, β = 90.00°, γ = 90.00°
Space group I4/mmm (No. 139)
One atom of each set of equivalent atoms:
Ac (0.166, 0.166, 0.000) x8
Pr (0.000, 0.337, 0.500) x8
Y (0.000, 0.000, 0.500) x2

Properties
Calculated total energy in eV per atom: -4.6362
DOS at the Fermi energy in states/eV/atom: 1.62
Energy of formation from the pure elements in kcal/mol of atoms: 0.74

[10]
Below is an optimized crystal structure of AcPrY2, with properties calculated at the GGA-PBE level.

a = 3.7404 Å, b = 3.7404 Å, c = 35.5603 Å
α = 90.00°, β = 90.00°, γ = 120.00°
Space group R-3m (No. 166, hexagonal axes)
One atom of each set of equivalent atoms:
Ac (0.0000, 0.0000, 0.0000) x3
Pr (0.0000, 0.0000, 0.5000) x3
Y (0.0000, 0.0000, 0.2483) x6

Properties
Calculated total energy in eV per atom: -5.4234
DOS at the Fermi energy in states/eV/atom: 1.15
Energy of formation from the pure elements in kcal/mol of atoms: 0.71
Offset from the most stable computed form in eV per formula unit: 0.00

[11]
Below is an optimized crystal structure of Ac5Pr4Y2, with properties calculated at the GGA-PBE level.

a = 9.433 Å, b = 3.710 Å, c = 12.623 Å
α = 90.00°, β = 91.82°, γ = 90.00°
Space group P2/m (No. 10)
One atom of each set of equivalent atoms:
Ac (0.000, 0.000, 0.000) x1
Ac (0.197, 0.000, 0.526) x2
Ac (0.284, 0.000, 0.818) x2
Pr (0.077, 0.500, 0.266) x2
Pr (0.462, 0.500, 0.354) x2
Y (0.350, 0.000, 0.117) x2

Properties
Calculated total energy in eV per atom: -4.6292
DOS at the Fermi energy in states/eV/atom: 1.84
Energy of formation from the pure elements in kcal/mol of atoms: 3.49

[12]
Below is an optimized crystal structure of AcPr6Y12, with properties calculated at the GGA-PBE level.

a = 13.5583 Å, b = 13.5583 Å, c = 12.6754 Å
α = 90.00°, β = 90.00°, γ = 120.00°
Space group R-3m (No. 166, hexagonal axes)
One atom of each set of equivalent atoms:
Ac (0.0000, 0.0000, 0.0000) x3
Pr (0.0338, 0.5169, 0.6191) x18
Y (0.0000, 0.2583, 0.5000) x18
Y (0.0916, 0.1832, 0.2629) x18

Properties
Calculated total energy in eV per atom: -5.6108
DOS at the Fermi energy in states/eV/atom: 1.73
Energy of formation from the pure elements in kcal/mol of atoms: 4.55

What did the ninth record say?
Below is an optimized crystal structure of Ac4Pr4Y, with properties calculated at the GGA-PBE level.

a = 11.462 Å, b = 11.462 Å, c = 5.419 Å
α = 90.00°, β = 90.00°, γ = 90.00°
Space group I4/mmm (No. 139)
One atom of each set of equivalent atoms:
Ac (0.166, 0.166, 0.000) x8
Pr (0.000, 0.337, 0.500) x8
Y (0.000, 0.000, 0.500) x2

Properties
Calculated total energy in eV per atom: -4.6362
DOS at the Fermi energy in states/eV/atom: 1.62
Energy of formation from the pure elements in kcal/mol of atoms: 0.74